Entry 1:
Material: NdPaSi3
Method: DFT, PBE
State: relaxed

a b c (Å): 4.1830 4.0364 12.5534
angles (deg): 90.00 99.59 90.00
Sites, in units of the cell vectors:
Si (0.4752, 0.2500, 0.9503)
Si (0.3211, 0.7500, 0.6422)
Si (0.6216, 0.7500, 0.2432)
Pa (0.2046, 0.7500, 0.4092)
Si (0.3784, 0.2500, 0.7568)
Nd (0.9297, 0.7500, 0.8594)
Pa (0.7954, 0.2500, 0.5908)
Nd (0.0703, 0.2500, 0.1406)
Si (0.5248, 0.7500, 0.0497)
Si (0.6789, 0.2500, 0.3578)

Properties
Density of states at the Fermi level: 6.1 states/eV/f.u.
Formation energy from raw total energies: -0.56 eV per atom
Energy: -6.665 eV per atom

Entry 2:
Material: NdPaSi4
Method: DFT, PBE
State: relaxed

a b c (Å): 5.3590 5.3590 5.3590
angles (deg): 60.00 60.00 60.00
Sites, in units of the cell vectors:
Pa (0.2500, 0.2500, 0.2500)
Si (0.6260, 0.6260, 0.1221)
Si (0.6260, 0.1221, 0.6260)
Si (0.6260, 0.6260, 0.6260)
Nd (0.0000, 0.0000, 0.0000)
Si (0.1221, 0.6260, 0.6260)

Properties
Density of states at the Fermi level: 5.5 states/eV/f.u.
Formation energy from raw total energies: -0.24 eV per atom
Energy: -6.231 eV per atom
Energy above the lowest structure with this stoichiometry: 302 meV per atom

Entry 3:
Material: NdPaSi4
Method: DFT, PBE
State: relaxed

a b c (Å): 4.0306 4.0306 7.7601
angles (deg): 105.05 105.05 90.00
Sites, in units of the cell vectors:
Si (0.6647, 0.1647, 0.3295)
Si (0.4198, 0.4198, 0.8396)
Si (0.8353, 0.3353, 0.6705)
Pa (0.0000, 0.0000, 0.0000)
Nd (0.2500, 0.7500, 0.5000)
Si (0.5802, 0.5802, 0.1604)

Properties
Density of states at the Fermi level: 5.4 states/eV/f.u.
Formation energy from raw total energies: -0.54 eV per atom
Energy: -6.533 eV per atom
Energy above the lowest structure with this stoichiometry: 0 meV per atom

Entry 4:
Material: Nd2Pa3Si4
Method: DFT, PBE
State: relaxed

a b c (Å): 7.5084 7.6564 7.6828
angles (deg): 90.00 90.00 107.61
Sites, in units of the cell vectors:
Pa (0.2485, 0.2516, 0.6860)
Nd (0.5805, 0.1997, 0.3231)
Si (0.1236, 0.5100, 0.8832)
Si (0.3776, 0.0819, 0.9738)
Nd (0.0805, 0.1997, 0.1769)
Pa (0.2515, 0.7484, 0.1860)
Si (0.1224, 0.9181, 0.4738)
Si (0.3764, 0.4900, 0.3832)
Si (0.6236, 0.5100, 0.6168)
Pa (0.5000, 0.5000, 0.0000)
Si (0.8776, 0.0819, 0.5262)
Nd (0.9195, 0.8003, 0.8231)
Pa (0.7515, 0.7484, 0.3140)
Si (0.8764, 0.4900, 0.1168)
Si (0.6224, 0.9181, 0.0262)
Pa (0.7485, 0.2516, 0.8140)
Nd (0.4195, 0.8003, 0.6769)
Pa (0.0000, 0.5000, 0.5000)

Properties
Density of states at the Fermi level: 12.0 states/eV/f.u.
Formation energy from raw total energies: -0.53 eV per atom
Energy: -7.170 eV per atom

Entry 5:
Material: NdPaZnSi
Method: DFT, PBE
State: relaxed

a b c (Å): 5.0592 5.0592 5.0592
angles (deg): 60.00 60.00 60.00
Sites, in units of the cell vectors:
Si (0.7500, 0.7500, 0.7500)
Zn (0.2500, 0.2500, 0.2500)
Nd (0.5000, 0.5000, 0.5000)
Pa (0.0000, 0.0000, 0.0000)

Properties
Density of states at the Fermi level: 7.5 states/eV/f.u.
Formation energy from raw total energies: -0.14 eV per atom
Energy: -5.384 eV per atom

Entry 6:
Material: NdSmPa
Method: DFT, PBE
State: relaxed

a b c (Å): 3.4113 3.4113 8.2935
angles (deg): 101.87 101.87 90.00
Sites, in units of the cell vectors:
Sm (0.6806, 0.6806, 0.3613)
Nd (0.9867, 0.9867, 0.9734)
Pa (0.3327, 0.3327, 0.6653)

Properties
Density of states at the Fermi level: 4.5 states/eV/f.u.
Energy: -6.146 eV per atom
Energy above the lowest structure with this stoichiometry: 10 meV per atom

Entry 7:
Material: NdSmPa
Method: DFT, PBE
State: relaxed

a b c (Å): 4.0121 4.4801 11.0911
angles (deg): 78.35 90.00 90.00
Sites, in units of the cell vectors:
Pa (0.7500, 0.5412, 0.9176)
Sm (0.7500, 0.7030, 0.5940)
Nd (0.2500, 0.1043, 0.7914)
Pa (0.2500, 0.4588, 0.0824)
Sm (0.2500, 0.2970, 0.4060)
Nd (0.7500, 0.8957, 0.2086)

Properties
Density of states at the Fermi level: 7.7 states/eV/f.u.
Energy: -5.978 eV per atom
Energy above the lowest structure with this stoichiometry: 178 meV per atom

Entry 8:
Material: NdSmPa4
Method: DFT, PBE
State: relaxed

a b c (Å): 6.1850 6.1850 6.1850
angles (deg): 60.00 60.00 60.00
Sites, in units of the cell vectors:
Pa (0.1248, 0.6251, 0.6251)
Nd (0.2500, 0.2500, 0.2500)
Pa (0.6251, 0.1248, 0.6251)
Pa (0.6251, 0.6251, 0.1248)
Pa (0.6251, 0.6251, 0.6251)
Sm (0.0000, 0.0000, 0.0000)

Properties
Density of states at the Fermi level: 15.0 states/eV/f.u.
Energy: -7.667 eV per atom

Entry 9:
Material: NdSmPa
Method: DFT, PBE
State: relaxed

a b c (Å): 3.4759 3.4759 8.7649
angles (deg): 90.00 90.00 120.00
Sites, in units of the cell vectors:
Sm (0.6667, 0.3333, 0.3145)
Nd (0.3333, 0.6667, 0.6842)
Pa (0.0000, 0.0000, 0.0013)

Properties
Density of states at the Fermi level: 4.5 states/eV/f.u.
Energy: -6.156 eV per atom
Energy above the lowest structure with this stoichiometry: 0 meV per atom

Entry 10:
Material: NdPaSn2
Method: DFT, PBE
State: relaxed

a b c (Å): 3.3026 3.3026 12.2118
angles (deg): 82.23 82.23 60.00
Sites, in units of the cell vectors:
Pa (0.0000, 0.0000, 0.0000)
Sn (0.0879, 0.0879, 0.7363)
Sn (0.9121, 0.9121, 0.2637)
Nd (0.5000, 0.5000, 0.5000)

Properties
Density of states at the Fermi level: 5.8 states/eV/f.u.
Energy: -5.506 eV per atom
Energy above the lowest structure with this stoichiometry: 469 meV per atom

Entry 11:
Material: NdPaSn
Method: DFT, PBE
State: relaxed

a b c (Å): 3.1676 3.1676 8.8506
angles (deg): 100.31 100.31 90.00
Sites, in units of the cell vectors:
Sn (0.7724, 0.7724, 0.5447)
Nd (0.1229, 0.1229, 0.2458)
Pa (0.9547, 0.9547, 0.9095)

Properties
Density of states at the Fermi level: 4.7 states/eV/f.u.
Energy: -5.702 eV per atom
Energy above the lowest structure with this stoichiometry: 408 meV per atom

Entry 12:
Material: NdPaSn2
Method: DFT, PBE
State: relaxed

a b c (Å): 3.4446 3.4446 9.0633
angles (deg): 90.00 90.00 90.00
Sites, in units of the cell vectors:
Nd (0.5000, 0.5000, 0.5000)
Sn (0.0000, 0.0000, 0.7560)
Sn (0.0000, 0.0000, 0.2440)
Pa (0.5000, 0.5000, 0.0000)

Properties
Density of states at the Fermi level: 5.1 states/eV/f.u.
Energy: -5.975 eV per atom
Energy above the lowest structure with this stoichiometry: 0 meV per atom

Entry 13:
Material: NdPaSn2
Method: DFT, PBE
State: relaxed

a b c (Å): 5.4025 5.4025 5.4025
angles (deg): 60.00 60.00 60.00
Sites, in units of the cell vectors:
Sn (0.7500, 0.7500, 0.7500)
Nd (0.0000, 0.0000, 0.0000)
Sn (0.2500, 0.2500, 0.2500)
Pa (0.5000, 0.5000, 0.5000)

Properties
Density of states at the Fermi level: 7.3 states/eV/f.u.
Energy: -5.846 eV per atom
Energy above the lowest structure with this stoichiometry: 129 meV per atom

Entry 14:
Material: NdPaSn2
Method: DFT, PBE
State: relaxed

a b c (Å): 4.4094 4.9603 4.9603
angles (deg): 90.00 90.00 90.00
Sites, in units of the cell vectors:
Nd (0.5000, 0.5000, 0.5000)
Sn (0.0000, 0.5000, 0.0000)
Pa (0.5000, 0.0000, 0.0000)
Sn (0.0000, 0.0000, 0.5000)

Properties
Density of states at the Fermi level: 5.9 states/eV/f.u.
Energy: -5.929 eV per atom
Energy above the lowest structure with this stoichiometry: 46 meV per atom

Entry 15:
Material: NdPaSn
Method: DFT, PBE
State: relaxed

a b c (Å): 3.2417 5.3058 5.3058
angles (deg): 120.00 90.00 90.00
Sites, in units of the cell vectors:
Sn (0.6675, 0.3333, 0.6667)
Pa (0.1672, 0.6667, 0.3333)
Nd (0.1654, 0.0000, 0.0000)

Properties
Density of states at the Fermi level: 5.1 states/eV/f.u.
Energy: -6.007 eV per atom
Energy above the lowest structure with this stoichiometry: 104 meV per atom

Entry 16:
Material: NdPaSn
Method: DFT, PBE
State: relaxed

a b c (Å): 4.1885 4.1885 9.7095
angles (deg): 90.00 90.00 90.00
Sites, in units of the cell vectors:
Sn (0.0000, 0.5000, 0.5981)
Sn (0.5000, 0.0000, 0.4019)
Pa (0.5000, 0.0000, 0.0746)
Nd (0.5000, 0.0000, 0.7354)
Nd (0.0000, 0.5000, 0.2646)
Pa (0.0000, 0.5000, 0.9254)

Properties
Density of states at the Fermi level: 5.2 states/eV/f.u.
Energy: -6.111 eV per atom
Energy above the lowest structure with this stoichiometry: 0 meV per atom

Entry 17:
Material: NdPa2Sn
Method: DFT, PBE
State: relaxed

a b c (Å): 5.1503 4.5385 4.5385
angles (deg): 90.00 90.00 90.00
Sites, in units of the cell vectors:
Sn (0.5000, 0.5000, 0.5000)
Nd (0.5000, 0.0000, 0.0000)
Pa (0.0000, 0.5000, 0.0000)
Pa (0.0000, 0.0000, 0.5000)

Properties
Density of states at the Fermi level: 8.0 states/eV/f.u.
Energy: -7.067 eV per atom

Entry 18:
Material: NdPaSn6
Method: DFT, PBE
State: relaxed

a b c (Å): 4.6950 4.6950 9.4581
angles (deg): 90.00 90.00 90.00
Sites, in units of the cell vectors:
Pa (0.0000, 0.0000, 0.5000)
Sn (0.5000, 0.0000, 0.7443)
Sn (0.5000, 0.0000, 0.2557)
Sn (0.0000, 0.5000, 0.2557)
Sn (0.5000, 0.5000, 0.0000)
Sn (0.0000, 0.5000, 0.7443)
Nd (0.0000, 0.0000, 0.0000)
Sn (0.5000, 0.5000, 0.5000)

Properties
Density of states at the Fermi level: 6.5 states/eV/f.u.
Energy: -5.173 eV per atom

Entry 19:
Material: Nd2PaSn9
Method: DFT, PBE
State: relaxed

a b c (Å): 4.7066 4.7066 14.3306
angles (deg): 90.00 90.00 90.00
Sites, in units of the cell vectors:
Sn (0.5000, 0.0000, 0.8405)
Nd (0.0000, 0.0000, 0.6767)
Sn (0.5000, 0.5000, 0.0000)
Sn (0.0000, 0.5000, 0.5000)
Nd (0.0000, 0.0000, 0.3233)
Sn (0.5000, 0.0000, 0.5000)
Sn (0.5000, 0.5000, 0.3327)
Sn (0.5000, 0.0000, 0.1595)
Sn (0.0000, 0.5000, 0.1595)
Pa (0.0000, 0.0000, 0.0000)
Sn (0.0000, 0.5000, 0.8405)
Sn (0.5000, 0.5000, 0.6673)

Properties
Density of states at the Fermi level: 8.9 states/eV/f.u.
Energy: -5.014 eV per atom

Entry 20:
Material: NdPaZnSn
Method: DFT, PBE
State: relaxed

a b c (Å): 5.2784 5.2784 5.2784
angles (deg): 60.00 60.00 60.00
Sites, in units of the cell vectors:
Sn (0.7500, 0.7500, 0.7500)
Zn (0.2500, 0.2500, 0.2500)
Nd (0.5000, 0.5000, 0.5000)
Pa (0.0000, 0.0000, 0.0000)

Properties
Density of states at the Fermi level: 8.5 states/eV/f.u.
Energy: -5.017 eV per atom